A plane-wave DFT calculation with PBE was carried out for crystalline HfSIN2 at its relaxed geometry.

a b c (Å): 4.014 4.014 4.853
angles (deg): 90.00 90.00 90.00
Sites, in units of the cell vectors:
Hf  0.000  0.000  0.000
S  0.500  0.500  0.500
I  0.500  0.500  0.000
N  0.000  0.500  0.500
N  0.500  0.000  0.500

Values from the calculation:
The energy relative to the elements, uncorrected is 1661 meV/atom. The value obtained for the energy above the most stable polymorph in this dataset is 1200 meV/atom. Its size of the total moment is 0.000 μB per atom. For the density of states at the Fermi level, the calculation gives 1.7 states/eV/f.u. The total energy is -23.98 eV/f.u.

=====

A plane-wave DFT calculation with PBE was carried out for crystalline Tb4TeRhSe2 at its relaxed geometry.

a b c (Å): 7.307 4.091 7.345
angles (deg): 90.00 108.52 90.00
Sites, in units of the cell vectors:
Tb  0.233  0.000  0.220
Tb  0.255  0.500  0.775
Tb  0.745  0.500  0.225
Tb  0.767  0.000  0.780
Te  0.000  0.000  0.500
Rh  0.000  0.500  0.000
Se  0.500  0.000  0.000
Se  0.500  0.500  0.500

Values from the calculation:
The energy relative to the elements, uncorrected is -1376 meV/atom. Its size of the total moment is 0.000 μB per atom. For the density of states at the Fermi level, the calculation gives 6.1 states/eV/f.u. The total energy is -46.99 eV/f.u.

=====

A plane-wave DFT calculation with PBE was carried out for crystalline Fe2PtCl at its relaxed geometry.

a b c (Å): 5.596 5.596 5.596
angles (deg): 109.56 109.56 109.29
Sites, in units of the cell vectors:
Fe  0.108  0.625  0.983
Fe  0.375  0.358  0.483
Fe  0.642  0.125  0.017
Fe  0.875  0.892  0.517
Pt  0.250  0.750  0.500
Pt  0.500  0.500  0.000
Cl  0.000  0.000  0.000
Cl  0.750  0.250  0.500

Values from the calculation:
The energy relative to the elements, uncorrected is 411 meV/atom. The value obtained for the energy above the most stable polymorph in this dataset is 469 meV/atom. Its size of the total moment is 1.722 μB per atom. For the density of states at the Fermi level, the calculation gives 3.4 states/eV/f.u. The total energy is -23.17 eV/f.u.

=====

A plane-wave DFT calculation with PBE was carried out for crystalline Sr2CdH at its relaxed geometry.

a b c (Å): 10.196 10.196 10.196
angles (deg): 22.38 22.38 22.38
Sites, in units of the cell vectors:
Sr  0.115  0.115  0.115
Sr  0.885  0.885  0.885
Cd  0.000  0.000  0.000
H  0.500  0.500  0.500

Values from the calculation:
The value obtained for the energy above the most stable polymorph in this dataset is 395 meV/atom. Its size of the total moment is 0.000 μB per atom. For the density of states at the Fermi level, the calculation gives 2.9 states/eV/f.u. The total energy is -7.44 eV/f.u.

=====

A plane-wave DFT calculation with PBE was carried out for crystalline LaSmTc4 at its relaxed geometry.

a b c (Å): 5.494 5.494 5.494
angles (deg): 60.00 60.00 60.00
Sites, in units of the cell vectors:
La  0.000  0.000  0.000
Sm  0.250  0.250  0.250
Tc  0.125  0.625  0.625
Tc  0.625  0.125  0.625
Tc  0.625  0.625  0.125
Tc  0.625  0.625  0.625

Values from the calculation:
The calculation puts the formation energy at 0.062 eV/atom. Its size of the total moment is 0.000 μB per atom. For the density of states at the Fermi level, the calculation gives 10.3 states/eV/f.u. The total energy is -50.74 eV/f.u.

=====

A plane-wave DFT calculation with PBE was carried out for crystalline HfPa2Co4As3 at its relaxed geometry.

a b c (Å): 4.017 4.017 10.040
angles (deg): 90.00 90.00 90.00
Sites, in units of the cell vectors:
Hf  0.000  0.000  0.000
Pa  0.000  0.500  0.735
Pa  0.500  0.000  0.265
Co  0.000  0.000  0.500
Co  0.000  0.500  0.146
Co  0.500  0.000  0.854
Co  0.500  0.500  0.500
As  0.000  0.500  0.373
As  0.500  0.000  0.627
As  0.500  0.500  0.000

Values from the calculation:
The calculation puts the formation energy at -0.665 eV/atom. Its size of the total moment is 0.140 μB per atom. For the density of states at the Fermi level, the calculation gives 2.5 states/eV/f.u. The total energy is -77.96 eV/f.u.

=====

> Which of these has the highest size of the total moment?

Fe2PtCl